Entry P
Cu7Ag2 after structural relaxation. Source: OQMD via LeMat-Bulk, functional GGA-PBE.

SG   C2/m
Volume   13.21 A^3/atom

Cell: 6.913 6.913 7.647 Å, 122.12 122.12 22.78°
Positions (direct):
Cu 0.057 0.057 0.318
Cu 0.837 0.837 0.988
Cu 0.284 0.284 0.663
Cu 0.716 0.716 0.337
Cu 0.500 0.500 0.000
Cu 0.943 0.943 0.682
Cu 0.163 0.163 0.012
Ag 0.385 0.385 0.328
Ag 0.615 0.615 0.672

Entry Q
Cu7Ag2 after structural relaxation. Source: OQMD via LeMat-Bulk, functional GGA-PBE.

SG   C2/m
Volume   13.17 A^3/atom

Cell: 4.596 4.596 7.935 Å, 106.84 106.84 48.19°
Positions (direct):
Cu 0.340 0.340 0.946
Cu 0.334 0.334 0.612
Cu 0.666 0.666 0.388
Cu 0.002 0.002 0.841
Cu 0.998 0.998 0.159
Cu 0.660 0.660 0.054
Cu 0.000 0.000 0.500
Ag 0.667 0.667 0.724
Ag 0.333 0.333 0.276

Entry R
Cu7Ag2 after structural relaxation. Source: OQMD via LeMat-Bulk, functional GGA-PBE.

SG   C2/m
Volume   13.20 A^3/atom

Cell: 4.577 4.577 10.938 Å, 112.30 112.30 34.40°
Positions (direct):
Cu 0.690 0.690 0.692
Cu 0.310 0.310 0.308
Cu 0.000 0.000 0.000
Cu 0.231 0.231 0.898
Cu 0.462 0.462 0.798
Cu 0.769 0.769 0.102
Cu 0.538 0.538 0.202
Ag 0.901 0.901 0.569
Ag 0.099 0.099 0.431

Which of them is the least stable? Correct choice: entry Q.

Entry P
Cu7Ag2 after structural relaxation. Source: OQMD via LeMat-Bulk, functional GGA-PBE.

SG   C2/m
Volume   13.19 A^3/atom

Cell: 4.584 4.584 7.947 Å, 106.81 106.81 48.53°
Positions (direct):
Ag 0.157 0.157 0.379
Ag 0.843 0.843 0.621
Cu 0.488 0.488 0.155
Cu 0.512 0.512 0.845
Cu 0.824 0.824 0.260
Cu 0.176 0.176 0.740
Cu 0.837 0.837 0.952
Cu 0.500 0.500 0.500
Cu 0.163 0.163 0.048

Entry Q
Cu7Ag2 after structural relaxation. Source: OQMD via LeMat-Bulk, functional GGA-PBE.

SG   Immm
Volume   13.20 A^3/atom

Cell: 6.931 6.931 6.931 Å, 157.54 109.39 75.16°
Positions (direct):
Cu 0.176 0.676 0.500
Cu 0.824 0.324 0.500
Cu 0.488 0.327 0.161
Cu 0.166 0.327 0.839
Cu 0.512 0.673 0.839
Cu 0.834 0.673 0.161
Cu 0.500 0.000 0.500
Ag 0.827 0.000 0.827
Ag 0.173 0.000 0.173

Entry R
Cu7Ag2 after structural relaxation. Source: OQMD via LeMat-Bulk, functional GGA-PBE.

SG   P-3m1
Volume   13.33 A^3/atom

Cell: 2.687 2.687 19.186 Å, 90.00 90.00 120.00°
Positions (direct):
Ag 0.333 0.667 0.381
Ag 0.667 0.333 0.619
Cu 0.000 0.000 0.843
Cu 0.333 0.667 0.052
Cu 0.667 0.333 0.948
Cu 0.333 0.667 0.739
Cu 0.000 0.000 0.157
Cu 0.000 0.000 0.500
Cu 0.667 0.333 0.261

Entry S
Cu7Ag2 after structural relaxation. Source: OQMD via LeMat-Bulk, functional GGA-PBE.

SG   C2/m
Volume   13.26 A^3/atom

Cell: 6.934 6.934 7.916 Å, 124.14 124.14 22.48°
Positions (direct):
Cu 0.006 0.006 0.167
Cu 0.994 0.994 0.833
Cu 0.000 0.000 0.500
Cu 0.667 0.667 0.493
Cu 0.662 0.662 0.171
Cu 0.333 0.333 0.507
Cu 0.338 0.338 0.829
Ag 0.662 0.662 0.824
Ag 0.338 0.338 0.176

Which of them is the least stable? Correct choice: entry R.

Entry P
Cu7Ag2 after structural relaxation. Source: OQMD via LeMat-Bulk, functional GGA-PBE.

SG   C2/m
Volume   13.22 A^3/atom

Cell: 6.858 6.858 6.505 Å, 94.57 94.57 22.96°
Positions (direct):
Cu 0.000 0.000 0.000
Cu 0.562 0.562 0.311
Cu 0.438 0.438 0.689
Cu 0.781 0.781 0.667
Cu 0.219 0.219 0.333
Cu 0.670 0.670 0.010
Cu 0.330 0.330 0.990
Ag 0.109 0.109 0.664
Ag 0.891 0.891 0.336

Entry Q
Cu7Ag2 after structural relaxation. Source: OQMD via LeMat-Bulk, functional GGA-PBE.

SG   Fmmm
Volume   13.31 A^3/atom

Cell: 7.975 5.984 5.906 Å, 84.24 48.29 47.47°
Positions (direct):
Cu 0.990 0.339 0.661
Cu 0.673 0.327 0.673
Cu 0.010 0.661 0.339
Cu 0.661 0.010 0.990
Cu 0.000 0.000 0.000
Cu 0.339 0.990 0.010
Cu 0.327 0.673 0.327
Ag 0.339 0.339 0.661
Ag 0.661 0.661 0.339

Which of them is the least stable? Correct choice: entry P.